VASP calculation (PBE) on crystalline CoNiIr2 at its relaxed geometry.

Calculated values
The formation enthalpy at 0 K is 196 meV/atom. The magnetization is 2.09 Bohr magnetons per cell. The polymorph energy (0 for the lowest one) is 191 meV per atom. For the theoretical density, the calculation gives 16.24 g cm⁻³. The final energy is -0.274 hartree per atom.

Cell lengths 4.3301, 4.3301, 2.7384 Å; angles 90.00, 90.00, 90.00 degrees
Space group P4/mmm (No. 123)
Unique sites:
Co1 0.0000 0.0000 0.0000 (multiplicity 1)
Ni1 0.5000 0.5000 0.0000 (multiplicity 1)
Ir1 0.0000 0.5000 0.5000 (multiplicity 2)